8
Lattice="-3.119 0.259 2.669 -2.633 -1.075 -2.972 1.021 -7.923 1.962" Properties=species:S:1:pos:R:3 comment="PBE-GGA YErPt6, relaxed" delta_e_f_kj_per_mol_fu=-800 crystal_system=tetragonal vol_a3_per_atom=17.4 pbc="T T T"
Pt -1.059 -2.536 -0.991
Pt -2.365 -4.370 0.830
Pt -0.796 -5.795 2.802
Pt -2.876 -0.408 -0.152
Pt -0.553 -6.462 -0.019
Pt -1.302 -1.869 1.829
Y 0.000 0.000 0.000
Er 0.510 -3.962 0.981

=====

12
Lattice="12.158 0.000 0.000 0.000 3.880 0.000 0.000 0.000 5.893" Properties=species:S:1:pos:R:3 comment="PBE-GGA LaBe, relaxed" delta_e_f_kj_per_mol_fu=40 crystal_system=orthorhombic vol_a3_per_atom=23.2 relative_energy_mev_per_atom=167 pbc="T T T"
La 9.244 0.915 1.029
La 6.079 0.988 2.881
La 0.000 2.892 5.827
La 8.994 2.965 3.975
La 2.915 0.915 1.029
La 3.165 2.965 3.975
Be 0.000 2.960 2.998
Be 1.001 1.016 3.404
Be 7.081 2.864 0.457
Be 6.079 0.920 0.052
Be 5.078 2.864 0.457
Be 11.157 1.016 3.404

=====

12
Lattice="3.637 0.013 -1.060 -0.980 6.314 -3.290 0.058 -0.453 6.964" Properties=species:S:1:pos:R:3 comment="PBE-GGA ZnNi5Rh6, relaxed" delta_e_f_kj_per_mol_fu=5 crystal_system=orthorhombic vol_a3_per_atom=12.9 pbc="T T T"
Rh 0.217 2.516 0.775
Rh -0.265 5.621 -0.843
Rh 1.091 4.693 -2.972
Rh 1.566 1.634 -1.378
Rh 2.980 0.252 3.458
Rh 2.498 3.358 1.840
Ni 2.277 0.902 1.053
Ni -0.490 3.157 -1.645
Ni 1.794 4.073 -0.568
Ni 0.438 4.972 1.562
Ni 0.921 1.801 3.182
Zn 0.000 0.000 0.000

=====

4
Lattice="-1.926 2.911 0.074 -3.465 -0.189 -0.380 -2.997 -0.177 11.393" Properties=species:S:1:pos:R:3 comment="PBE-GGA Dy2MgPb, relaxed" delta_e_f_kj_per_mol_fu=25 crystal_system=trigonal vol_a3_per_atom=30.6 pbc="T T T"
Mg -4.194 1.272 5.543
Dy -2.668 0.120 8.243
Dy -5.720 2.425 2.844
Pb 0.000 0.000 0.000

=====

5
Lattice="-2.762 -2.868 2.073 1.395 -3.181 -2.541 3.225 -0.959 2.971" Properties=species:S:1:pos:R:3 comment="PBE-GGA Zn2NiOsSe, relaxed" crystal_system=tetragonal vol_a3_per_atom=17.3 formation_energy_uncorrected_kj_per_mol_fu=488 pbc="T T T"
Se 0.698 -1.590 -1.271
Zn -1.381 -1.434 1.036
Zn 1.613 -0.480 1.486
Os 0.929 -3.504 1.251
Ni 0.000 0.000 0.000

=====

6
Lattice="0.281 0.698 5.191 -2.854 -3.010 3.209 2.354 -3.596 3.006" Properties=species:S:1:pos:R:3 comment="PBE-GGA CaRu4Au, relaxed" delta_e_f_kj_per_mol_fu=204 crystal_system=cubic vol_a3_per_atom=17.0 pbc="T T T"
Ru 1.088 -4.008 5.780
Ru -0.082 -2.220 4.285
Ru -1.502 -3.717 5.881
Ru 0.057 -1.873 6.866
Ca 0.000 0.000 0.000
Au -0.164 -4.431 8.555